Density functional theory data (PBE+U) for crystalline VNiF2 at its relaxed geometry.

```
data_VNiF2
_chemical_formula_sum 'V3 Ni3 F6'
_space_group_name_H-M_alt 'R -3 m'
_space_group_IT_number 166
_space_group_name_Hall '-R 3 2"'
_cell_length_a 2.9458
_cell_length_b 2.9458
_cell_length_c 22.4809
_cell_angle_alpha 90.00
_cell_angle_beta 90.00
_cell_angle_gamma 120.00
loop_
_atom_site_label
_atom_site_type_symbol
_atom_site_fract_x
_atom_site_fract_y
_atom_site_fract_z
V1 V 0.0000 0.0000 0.0000
Ni1 Ni 0.0000 0.0000 0.5000
F1 F 0.0000 0.0000 0.0832
```

Output
D(E_F) (states/eV/f.u.): 0.79
Calculated density (g/cm3): 4.35
Polymorph energy (0 for the lowest one) (eV/atom): 0.352
Calculated volume (A^3/atom): 14.08
Energy (eV per cell): -50.49